# Ac4Sn3Ru, optimized geometry, DFT PBE-GGA
data_Ac4Sn3Ru
_chemical_formula_sum 'Ac4 Sn3 Ru1'
_symmetry_space_group_name_H-M 'P 1'
_symmetry_Int_Tables_number 1
_symmetry_space_group_name_Hall 'P 1'
_cell_length_a 4.8560
_cell_length_b 4.5913
_cell_length_c 11.8801
_cell_angle_alpha 90.00
_cell_angle_beta 90.00
_cell_angle_gamma 90.00
loop_
_atom_site_label
_atom_site_fract_x
_atom_site_fract_y
_atom_site_fract_z
_atom_site_occupancy
Sn1 0.5000 0.0000 0.9369 1
Sn2 0.0000 0.0000 0.4172 1
Sn3 0.0000 0.5000 0.5835 1
Ac1 0.0000 0.5000 0.8798 1
Ac2 0.5000 0.5000 0.3296 1
Ac3 0.0000 0.0000 0.1334 1
Ac4 0.5000 0.0000 0.6437 1
Ru1 0.5000 0.5000 0.0758 1
# ΔH_f (0 K) = -0.5140 eV/atom
# space group = No. 25
# size of the total moment = 0.00 μB per formula unit
# theoretical density = 8.56 Mg/m³
# DOS at the Fermi energy = 7.36 states/eV/f.u.
# electronic total energy = -5.23 eV/atom